Run i
Computed, not measured: crystalline Nd8InCu2 at its relaxed geometry at the PBE level of DFT.

SG ... C2/m (12)

Geometry as extended XYZ:
```
11
Lattice="-0.217 4.023 -3.780 -8.117 -0.685 1.597 4.374 3.969 5.833" Properties=species:S:1:pos:R:3 pbc="T T T"
Nd -4.727 5.780 1.952
Nd -1.678 6.916 2.986
Nd -2.331 3.222 3.334
Nd -5.184 2.460 0.738
Nd 1.224 4.847 2.911
Nd -1.629 4.085 0.316
Nd -2.282 0.390 0.663
Nd 0.767 1.526 1.697
In -0.109 2.012 -1.890
Cu 0.501 2.526 4.519
Cu -4.244 0.758 2.910
```

Run ii
Computed, not measured: crystalline Nd8InCu2 at its relaxed geometry at the PBE level of DFT.

SG ... C2/m (12)

Geometry as extended XYZ:
```
11
Lattice="4.847 0.000 -1.565 -1.178 6.916 -3.649 0.290 0.752 9.188" Properties=species:S:1:pos:R:3 pbc="T T T"
Nd 2.381 3.381 -0.914
Nd 1.700 0.609 5.264
Nd 0.663 2.299 2.054
Nd -0.653 5.340 -2.021
Nd 3.296 5.369 1.919
Nd 2.260 7.060 -1.290
Nd 1.578 4.288 4.888
Nd 4.612 2.329 5.995
Cu 0.245 4.833 0.759
Cu 3.715 2.836 3.215
In 2.424 0.000 -0.783
```

Which structure is the most stable? The one labeled run ii.